Compound: YCrCd2B
Source: the Alexandria database
Functional: GGA-PBE
Structure: relaxed

Properties
The spin magnetization is 0.0 μB per formula unit. The energy is -0.160 Ha/atom. For the formation enthalpy at 0 K, the calculation gives 558 meV per atom.

Cell lengths 4.992, 4.992, 4.044 Å; angles 90.00, 90.00, 90.00 degrees
Space group P4/mmm (No. 123)
Unique sites:
Y 0.000 0.000 0.000 (multiplicity 1)
Cr 0.500 0.500 0.500 (multiplicity 1)
Cd 0.000 0.500 0.500 (multiplicity 2)
B 0.500 0.500 0.000 (multiplicity 1)

=====

Compound: CsCdB3
Source: the Alexandria database
Functional: GGA-PBE
Structure: relaxed

Properties
The spin magnetization is 0.0 μB per formula unit. The energy is -0.043 Ha/atom. For the formation enthalpy at 0 K, the calculation gives 3178 meV per atom.

Cell lengths 5.011, 5.011, 5.011 Å; angles 90.00, 90.00, 90.00 degrees
Space group Pm-3m (No. 221)
Unique sites:
Cs 0.000 0.000 0.000 (multiplicity 1)
Cd 0.500 0.500 0.500 (multiplicity 1)
B 0.000 0.000 0.500 (multiplicity 3)

=====

Compound: CsCd3B
Source: the Alexandria database
Functional: GGA-PBE
Structure: relaxed

Properties
The spin magnetization is 0.0 μB per formula unit. The energy is -0.055 Ha/atom. For the formation enthalpy at 0 K, the calculation gives 553 meV per atom. As for the energy above the most stable polymorph in this dataset: 0 meV per atom.

Cell lengths 5.097, 5.097, 5.097 Å; angles 90.00, 90.00, 90.00 degrees
Space group Pm-3m (No. 221)
Unique sites:
Cs 0.000 0.000 0.000 (multiplicity 1)
Cd 0.000 0.500 0.500 (multiplicity 3)
B 0.500 0.500 0.500 (multiplicity 1)

=====

Compound: Cs3CdB
Source: the Alexandria database
Functional: GGA-PBE
Structure: relaxed

Properties
The spin magnetization is 0.0 μB per formula unit. The energy is -0.046 Ha/atom. For the formation enthalpy at 0 K, the calculation gives 775 meV per atom. As for the energy above the most stable polymorph in this dataset: 0 meV per atom.

Cell lengths 6.585, 6.585, 6.585 Å; angles 90.00, 90.00, 90.00 degrees
Space group Pm-3m (No. 221)
Unique sites:
Cs 0.000 0.000 0.500 (multiplicity 3)
Cd 0.500 0.500 0.500 (multiplicity 1)
B 0.000 0.000 0.000 (multiplicity 1)

=====

Compound: CsCdB2
Source: the Alexandria database
Functional: GGA-PBE
Structure: relaxed

Properties
The spin magnetization is 0.0 μB per formula unit. The energy is -0.086 Ha/atom. For the formation enthalpy at 0 K, the calculation gives 1445 meV per atom.

Cell lengths 5.175, 5.175, 15.094 Å; angles 90.00, 90.00, 90.00 degrees
Space group I4_1/amd (No. 141, origin choice 2)
Unique sites:
Cs 0.000 0.250 0.375 (multiplicity 4)
Cd 0.000 0.250 0.875 (multiplicity 4)
B 0.000 0.000 0.000 (multiplicity 8)

=====

Compound: CsCd3B
Source: the Alexandria database
Functional: GGA-PBE
Structure: relaxed

Properties
The spin magnetization is 1.9 μB per formula unit. The energy is -0.017 Ha/atom. For the formation enthalpy at 0 K, the calculation gives 1592 meV per atom. As for the energy above the most stable polymorph in this dataset: 1039 meV per atom.

Cell lengths 7.280, 7.280, 7.280 Å; angles 90.00, 90.00, 90.00 degrees
Space group Pm-3m (No. 221)
Unique sites:
Cs 0.000 0.000 0.000 (multiplicity 1)
Cd 0.000 0.000 0.500 (multiplicity 3)
B 0.500 0.500 0.500 (multiplicity 1)

=====

Compound: CsCdB2F8
Source: the Alexandria database
Functional: GGA-PBE
Structure: relaxed

Properties
The spin magnetization is 1.0 μB per formula unit. The energy is -0.190 Ha/atom.

Cell lengths 5.4545, 5.4545, 24.8909 Å; angles 90.00, 90.00, 120.00 degrees
Space group R-3 (No. 148, hexagonal axes)
Unique sites:
Cs 0.0000 0.0000 0.0000 (multiplicity 3)
Cd 0.0000 0.0000 0.5000 (multiplicity 3)
B 0.0000 0.0000 0.2485 (multiplicity 6)
F 0.0000 0.0000 0.3056 (multiplicity 6)
F 0.0297 0.7701 0.7701 (multiplicity 18)

=====

Compound: CsHfCd2B
Source: the Alexandria database
Functional: GGA-PBE
Structure: relaxed

Properties
The spin magnetization is 4.0 μB per formula unit. The energy is -0.047 Ha/atom. For the formation enthalpy at 0 K, the calculation gives 2578 meV per atom.

Cell lengths 6.856, 6.856, 6.920 Å; angles 90.00, 90.00, 90.00 degrees
Space group P4/mmm (No. 123)
Unique sites:
Cs 0.000 0.000 0.000 (multiplicity 1)
Hf 0.000 0.000 0.500 (multiplicity 1)
Cd 0.000 0.500 0.000 (multiplicity 2)
B 0.500 0.500 0.500 (multiplicity 1)

=====

Compound: Cs2CdHgB
Source: the Alexandria database
Functional: GGA-PBE
Structure: relaxed

Properties
The spin magnetization is 1.9 μB per formula unit. The energy is -0.034 Ha/atom. For the formation enthalpy at 0 K, the calculation gives 986 meV per atom.

Cell lengths 7.176, 7.176, 5.372 Å; angles 90.00, 90.00, 90.00 degrees
Space group P4/mmm (No. 123)
Unique sites:
Cs 0.000 0.500 0.000 (multiplicity 2)
Cd 0.000 0.000 0.000 (multiplicity 1)
Hg 0.000 0.000 0.500 (multiplicity 1)
B 0.500 0.500 0.500 (multiplicity 1)

=====

Compound: Cs2CdBI6
Source: the Alexandria database
Functional: GGA-PBE
Structure: relaxed

Properties
The spin magnetization is 0.0 μB per formula unit. The energy is -0.086 Ha/atom.

Cell lengths 8.119, 8.119, 11.644 Å; angles 90.00, 90.00, 90.00 degrees
Space group I4/mmm (No. 139)
Unique sites:
Cs 0.000 0.500 0.250 (multiplicity 4)
Cd 0.000 0.000 0.000 (multiplicity 2)
B 0.000 0.000 0.500 (multiplicity 2)
I 0.000 0.000 0.259 (multiplicity 4)
I 0.232 0.232 0.500 (multiplicity 8)

=====

Compound: Cs2Cd3B16O28
Source: the Alexandria database
Functional: GGA-PBE
Structure: relaxed

Properties
The spin magnetization is 0.0 μB per formula unit. The energy is -0.272 Ha/atom.

Cell lengths 21.924, 7.788, 13.580 Å; angles 90.00, 90.90, 90.00 degrees
Space group C2/c (No. 15)
Unique sites:
Cs 0.249 0.015 0.092 (multiplicity 8)
Cd 0.000 0.257 0.750 (multiplicity 4)
Cd 0.001 0.243 0.400 (multiplicity 8)
B 0.070 0.419 0.921 (multiplicity 8)
B 0.076 0.082 0.586 (multiplicity 8)
B 0.087 0.090 0.919 (multiplicity 8)
B 0.092 0.420 0.586 (multiplicity 8)
B 0.095 0.076 0.257 (multiplicity 8)
B 0.095 0.419 0.250 (multiplicity 8)
B 0.187 0.033 0.844 (multiplicity 8)
B 0.189 0.484 0.160 (multiplicity 8)
O 0.062 0.048 0.821 (multiplicity 8)
O 0.062 0.254 0.958 (multiplicity 8)
O 0.065 0.456 0.154 (multiplicity 8)
O 0.068 0.442 0.483 (multiplicity 8)
O 0.069 0.054 0.486 (multiplicity 8)
O 0.073 0.442 0.821 (multiplicity 8)
O 0.075 0.246 0.623 (multiplicity 8)
O 0.075 0.251 0.286 (multiplicity 8)
O 0.077 0.056 0.150 (multiplicity 8)
O 0.154 0.105 0.919 (multiplicity 8)
O 0.159 0.435 0.584 (multiplicity 8)
O 0.161 0.432 0.244 (multiplicity 8)
O 0.162 0.050 0.266 (multiplicity 8)
O 0.250 0.054 0.853 (multiplicity 8)

=====

Compound: CsCd2BP
Source: the Alexandria database
Functional: GGA-PBE
Structure: relaxed

Properties
The spin magnetization is 0.0 μB per formula unit. The energy is -0.088 Ha/atom. For the formation enthalpy at 0 K, the calculation gives 552 meV per atom. As for the energy above the most stable polymorph in this dataset: 0 meV per atom.

Cell lengths 6.965, 6.965, 3.478 Å; angles 90.00, 90.00, 90.00 degrees
Space group P4/mmm (No. 123)
Unique sites:
Cs 0.000 0.000 0.000 (multiplicity 1)
Cd 0.000 0.500 0.500 (multiplicity 2)
B 0.500 0.500 0.000 (multiplicity 1)
P 0.500 0.500 0.500 (multiplicity 1)

=====

Compound: CsCd2BP
Source: the Alexandria database
Functional: GGA-PBE
Structure: relaxed

Properties
The spin magnetization is 0.0 μB per formula unit. The energy is -0.085 Ha/atom. For the formation enthalpy at 0 K, the calculation gives 632 meV per atom. As for the energy above the most stable polymorph in this dataset: 80 meV per atom.

Cell lengths 5.497, 5.497, 4.225 Å; angles 90.00, 90.00, 90.00 degrees
Space group P4/mmm (No. 123)
Unique sites:
Cs 0.000 0.000 0.000 (multiplicity 1)
Cd 0.000 0.500 0.500 (multiplicity 2)
B 0.500 0.500 0.500 (multiplicity 1)
P 0.500 0.500 0.000 (multiplicity 1)

=====

Compound: Cs3CdB2S6
Source: the Alexandria database
Functional: GGA-PBE
Structure: relaxed

Properties
The spin magnetization is 0.0 μB per formula unit. The energy is -0.153 Ha/atom.

Cell lengths 6.9477, 6.9477, 9.2687 Å; angles 90.00, 90.00, 120.00 degrees
Space group P-3m1 (No. 164)
Unique sites:
Cs 0.0000 0.0000 0.0000 (multiplicity 1)
Cs 0.3333 0.6667 0.6732 (multiplicity 2)
Cd 0.0000 0.0000 0.5000 (multiplicity 1)
B 0.3333 0.6667 0.3121 (multiplicity 2)
S 0.1815 0.3631 0.3030 (multiplicity 6)

=====

Compound: CsCdB2Sb
Source: the Alexandria database
Functional: GGA-PBE
Structure: relaxed

Properties
The spin magnetization is 0.0 μB per formula unit. The energy is -0.075 Ha/atom.

Cell lengths 4.806, 4.806, 6.146 Å; angles 90.00, 90.00, 90.00 degrees
Space group P4/mmm (No. 123)
Unique sites:
Cs 0.000 0.000 0.000 (multiplicity 1)
Cd 0.000 0.000 0.500 (multiplicity 1)
B 0.000 0.500 0.500 (multiplicity 2)
Sb 0.500 0.500 0.000 (multiplicity 1)

=====

Compound: CsCdSn2B
Source: the Alexandria database
Functional: GGA-PBE
Structure: relaxed

Properties
The spin magnetization is 0.0 μB per formula unit. The energy is -0.099 Ha/atom. For the formation enthalpy at 0 K, the calculation gives 603 meV per atom.

Cell lengths 5.026, 5.026, 5.735 Å; angles 90.00, 90.00, 90.00 degrees
Space group P4/mmm (No. 123)
Unique sites:
Cs 0.000 0.000 0.000 (multiplicity 1)
Cd 0.500 0.500 0.000 (multiplicity 1)
Sn 0.000 0.500 0.500 (multiplicity 2)
B 0.500 0.500 0.500 (multiplicity 1)

=====

Compound: CdCuB2
Source: the Alexandria database
Functional: GGA-PBE
Structure: relaxed

Properties
The spin magnetization is 0.0 μB per formula unit. The energy is -0.146 Ha/atom. For the formation enthalpy at 0 K, the calculation gives 616 meV per atom.

Cell lengths 3.676, 3.676, 14.730 Å; angles 90.00, 90.00, 90.00 degrees
Space group I4_1/amd (No. 141, origin choice 2)
Unique sites:
Cd 0.000 0.250 0.375 (multiplicity 4)
Cu 0.000 0.250 0.875 (multiplicity 4)
B 0.000 0.000 0.000 (multiplicity 8)

=====

Compound: CdCuBF2
Source: the Alexandria database
Functional: GGA-PBE
Structure: relaxed

Properties
The spin magnetization is 0.0 μB per formula unit. The energy is -0.108 Ha/atom.

Cell lengths 4.140, 4.140, 5.768 Å; angles 90.00, 90.00, 90.00 degrees
Space group P4/mmm (No. 123)
Unique sites:
Cd 0.000 0.000 0.000 (multiplicity 1)
Cu 0.000 0.000 0.500 (multiplicity 1)
B 0.500 0.500 0.500 (multiplicity 1)
F 0.000 0.500 0.000 (multiplicity 2)

=====

Compound: CdCuB2F
Source: the Alexandria database
Functional: GGA-PBE
Structure: relaxed

Properties
The spin magnetization is 0.0 μB per formula unit. The energy is -0.100 Ha/atom.

Cell lengths 4.309, 4.309, 4.521 Å; angles 90.00, 90.00, 90.00 degrees
Space group P4/mmm (No. 123)
Unique sites:
Cd 0.000 0.000 0.000 (multiplicity 1)
Cu 0.500 0.500 0.500 (multiplicity 1)
B 0.000 0.500 0.000 (multiplicity 2)
F 0.000 0.000 0.500 (multiplicity 1)

=====

Compound: CdCu2BF
Source: the Alexandria database
Functional: GGA-PBE
Structure: relaxed

Properties
The spin magnetization is 0.0 μB per formula unit. The energy is -0.104 Ha/atom.

Cell lengths 3.977, 3.977, 4.859 Å; angles 90.00, 90.00, 90.00 degrees
Space group P4/mmm (No. 123)
Unique sites:
Cd 0.000 0.000 0.000 (multiplicity 1)
Cu 0.000 0.500 0.500 (multiplicity 2)
B 0.500 0.500 0.000 (multiplicity 1)
F 0.000 0.000 0.500 (multiplicity 1)